VASP calculation (PBE-GGA) on an optimized crystal structure of Tl3BrF2.

Calculated values
- relative energy among the computed polymorphs (kJ/mol of formula units) = 12
- spin magnetization (μB/f.u.) = 0.00

a = 4.2903 Å, b = 7.5960 Å, c = 11.9658 Å
α = 88.00°, β = 90.00°, γ = 90.00°
Closest atoms and distances in Å follow each position.
Positions (direct):
1 Tl 0.7500 0.8805 0.7031  2 F 2.56-2.85
2 Tl 0.2500 0.1195 0.2969  2 F 2.56-2.85
3 Tl 0.7500 0.6200 0.3759  3 F 2.53-2.58
4 Tl 0.2500 0.3800 0.6241  3 F 2.53-2.58
5 Tl 0.2500 0.2123 0.9565  3 F 2.59-2.67
6 Tl 0.7500 0.7877 0.0435  3 F 2.59-2.67
7 Br 0.2500 0.6621 0.8281  3 Tl 3.07-3.30
8 Br 0.7500 0.3379 0.1719  3 Tl 3.07-3.30
9 F 0.2500 0.4398 0.4148  3 Tl 2.53-2.58
10 F 0.7500 0.5602 0.5852  3 Tl 2.53-2.58
11 F 0.7500 0.0353 0.8894  4 Tl 2.56-2.67
12 F 0.2500 0.9647 0.1106  4 Tl 2.56-2.67